Entry 1:
## Y2ZrGeRh (PBE)

Data for a geometry-optimized Y2ZrGeRh structure.

```
data_Y2ZrGeRh
_chemical_formula_sum 'Y2 Zr1 Ge1 Rh1'
_symmetry_space_group_name_H-M 'P 4/m m m'
_symmetry_Int_Tables_number 123
_symmetry_space_group_name_Hall '-P 4 2'
_cell_length_a 5.3130
_cell_length_b 5.3130
_cell_length_c 4.7194
_cell_angle_alpha 90.00
_cell_angle_beta 90.00
_cell_angle_gamma 90.00
loop_
_atom_site_label
_atom_site_fract_x
_atom_site_fract_y
_atom_site_fract_z
_atom_site_occupancy
Y1 0.0000 0.5000 0.0000 1
Zr1 0.0000 0.0000 0.5000 1
Ge1 0.5000 0.5000 0.5000 1
Rh1 0.5000 0.5000 0.0000 1
```

electronic total energy = -6.709 eV per atom
calculated formation energy = -0.020 eV per atom
magnetic moment = 2.957 μB per formula unit

Entry 2:
## Sm3MgCd7 (PBE)

Data for a geometry-optimized Sm3MgCd7 structure.

```
data_Sm3MgCd7
_chemical_formula_sum 'Sm12 Mg4 Cd28'
_symmetry_space_group_name_H-M 'C m c m'
_symmetry_Int_Tables_number 63
_symmetry_space_group_name_Hall '-C 2c 2'
_cell_length_a 3.5998
_cell_length_b 19.8566
_cell_length_c 15.8901
_cell_angle_alpha 90.00
_cell_angle_beta 90.00
_cell_angle_gamma 90.00
loop_
_atom_site_label
_atom_site_fract_x
_atom_site_fract_y
_atom_site_fract_z
_atom_site_occupancy
Sm1 0.0000 0.0596 0.0910 1
Sm2 0.0000 0.3363 0.7500 1
Mg1 0.0000 0.1239 0.7500 1
Cd1 0.0000 0.2766 0.1499 1
Cd2 0.0000 0.3078 0.5403 1
Cd3 0.0000 0.4191 0.0893 1
Cd4 0.0000 0.4987 0.7500 1
```

electronic total energy = -2.184 eV per atom
calculated formation energy = -0.169 eV per atom
magnetic moment = 0.000 μB per formula unit

Entry 3:
## La2AlV (PBE)

Data for a geometry-optimized La2AlV structure.

```
data_La2AlV
_chemical_formula_sum 'La6 Al3 V3'
_symmetry_space_group_name_H-M 'R -3 m'
_symmetry_Int_Tables_number 166
_symmetry_space_group_name_Hall '-R 3 2"'
_cell_length_a 3.2397
_cell_length_b 3.2397
_cell_length_c 33.6137
_cell_angle_alpha 90.00
_cell_angle_beta 90.00
_cell_angle_gamma 120.00
loop_
_atom_site_label
_atom_site_fract_x
_atom_site_fract_y
_atom_site_fract_z
_atom_site_occupancy
La1 0.0000 0.0000 0.0850 1
Al1 0.0000 0.0000 0.5000 1
V1 0.0000 0.0000 0.0000 1
```

electronic total energy = -5.135 eV per atom
calculated formation energy = 0.544 eV per atom
magnetic moment = 2.635 μB per formula unit

Entry 4:
## Pr3MgH (PBE)

Data for a geometry-optimized Pr3MgH structure.

```
data_Pr3MgH
_chemical_formula_sum 'Pr3 Mg1 H1'
_symmetry_space_group_name_H-M 'P m -3 m'
_symmetry_Int_Tables_number 221
_symmetry_space_group_name_Hall '-P 4 2 3'
_cell_length_a 5.1038
_cell_length_b 5.1038
_cell_length_c 5.1038
_cell_angle_alpha 90.00
_cell_angle_beta 90.00
_cell_angle_gamma 90.00
loop_
_atom_site_label
_atom_site_fract_x
_atom_site_fract_y
_atom_site_fract_z
_atom_site_occupancy
Pr1 0.0000 0.0000 0.5000 1
Mg1 0.5000 0.5000 0.5000 1
H1 0.0000 0.0000 0.0000 1
```

electronic total energy = -4.020 eV per atom
magnetic moment = 0.000 μB per formula unit

Entry 5:
## CuH3N (PBE)

Data for a geometry-optimized CuH3N structure.

```
data_CuH3N
_chemical_formula_sum 'Cu1 H3 N1'
_symmetry_space_group_name_H-M 'P m -3 m'
_symmetry_Int_Tables_number 221
_symmetry_space_group_name_Hall '-P 4 2 3'
_cell_length_a 3.0937
_cell_length_b 3.0937
_cell_length_c 3.0937
_cell_angle_alpha 90.00
_cell_angle_beta 90.00
_cell_angle_gamma 90.00
loop_
_atom_site_label
_atom_site_fract_x
_atom_site_fract_y
_atom_site_fract_z
_atom_site_occupancy
Cu1 0.0000 0.0000 0.0000 1
H1 0.0000 0.5000 0.5000 1
N1 0.5000 0.5000 0.5000 1
```

distance to the lowest polymorph of the same formula = 0.000 eV per atom
electronic total energy = -3.380 eV per atom
magnetic moment = 0.000 μB per formula unit

Entry 6:
## BaFe2Ru (PBE)

Data for a geometry-optimized BaFe2Ru structure.

```
data_BaFe2Ru
_chemical_formula_sum 'Ba4 Fe8 Ru4'
_symmetry_space_group_name_H-M 'I 41/a m d'
_symmetry_Int_Tables_number 141
_cell_length_a 4.8744
_cell_length_b 4.8744
_cell_length_c 16.3953
_cell_angle_alpha 90.00
_cell_angle_beta 90.00
_cell_angle_gamma 90.00
loop_
_symmetry_equiv_pos_as_xyz
'x,y,z'
'-x,-y,-z'
'-y+1/4,x+3/4,z+1/4'
'y+1/4,-x+3/4,-z+1/4'
'-x+1/2,-y,z+1/2'
'x+1/2,y,-z+1/2'
'y+1/4,-x+1/4,z+3/4'
'-y+1/4,x+1/4,-z+3/4'
'x,-y,-z'
'-x,y,z'
'-y+1/4,-x+1/4,-z+3/4'
'y+1/4,x+1/4,z+3/4'
'-x+1/2,y,-z+1/2'
'x+1/2,-y,z+1/2'
'y+1/4,x+3/4,-z+1/4'
'-y+1/4,-x+3/4,z+1/4'
'x+1/2,y+1/2,z+1/2'
'-x+1/2,-y+1/2,-z+1/2'
'-y+3/4,x+1/4,z+3/4'
'y+3/4,-x+1/4,-z+3/4'
'-x,-y+1/2,z'
'x,y+1/2,-z'
'y+3/4,-x+3/4,z+1/4'
'-y+3/4,x+3/4,-z+1/4'
'x+1/2,-y+1/2,-z+1/2'
'-x+1/2,y+1/2,z+1/2'
'-y+3/4,-x+3/4,-z+1/4'
'y+3/4,x+3/4,z+1/4'
'-x,y+1/2,-z'
'x,-y+1/2,z'
'y+3/4,x+1/4,-z+3/4'
'-y+3/4,-x+1/4,z+3/4'
loop_
_atom_site_label
_atom_site_fract_x
_atom_site_fract_y
_atom_site_fract_z
_atom_site_occupancy
Ba1 0.0000 0.2500 0.3750 1
Fe1 0.0000 0.0000 0.0000 1
Ru1 0.0000 0.2500 0.8750 1
```

electronic total energy = -6.253 eV per atom
calculated formation energy = 0.778 eV per atom
magnetic moment = 5.379 μB per formula unit

Entry 7:
## MgTa2Se (PBE)

Data for a geometry-optimized MgTa2Se structure.

```
data_MgTa2Se
_chemical_formula_sum 'Mg1 Ta2 Se1'
_symmetry_space_group_name_H-M 'P 4/m m m'
_symmetry_Int_Tables_number 123
_symmetry_space_group_name_Hall '-P 4 2'
_cell_length_a 3.0905
_cell_length_b 3.0905
_cell_length_c 7.6802
_cell_angle_alpha 90.00
_cell_angle_beta 90.00
_cell_angle_gamma 90.00
loop_
_atom_site_label
_atom_site_fract_x
_atom_site_fract_y
_atom_site_fract_z
_atom_site_occupancy
Mg1 0.0000 0.0000 0.0000 1
Ta1 0.5000 0.5000 0.2864 1
Se1 0.0000 0.0000 0.5000 1
```

distance to the lowest polymorph of the same formula = 0.147 eV per atom
electronic total energy = -7.063 eV per atom
magnetic moment = 0.000 μB per formula unit

Entry 8:
## FeHgAu2 (PBE)

Data for a geometry-optimized FeHgAu2 structure.

```
data_FeHgAu2
_chemical_formula_sum 'Fe1 Hg1 Au2'
_symmetry_space_group_name_H-M 'P 4/m m m'
_symmetry_Int_Tables_number 123
_symmetry_space_group_name_Hall '-P 4 2'
_cell_length_a 2.9711
_cell_length_b 2.9711
_cell_length_c 8.0827
_cell_angle_alpha 90.00
_cell_angle_beta 90.00
_cell_angle_gamma 90.00
loop_
_atom_site_label
_atom_site_fract_x
_atom_site_fract_y
_atom_site_fract_z
_atom_site_occupancy
Fe1 0.0000 0.0000 0.0000 1
Hg1 0.0000 0.0000 0.5000 1
Au1 0.5000 0.5000 0.2161 1
```

electronic total energy = -3.689 eV per atom
calculated formation energy = 0.141 eV per atom
magnetic moment = 3.002 μB per formula unit

Question: The highest magnetic moment belongs to which entry?
Answer: BaFe2Ru

Question: The highest magnetic moment belongs to which entry?
Answer: BaFe2Ru

Question: Number 2 is which compound?
Answer: Sm3MgCd7